# 1
A relaxed structure of RbScAgTe3. Source: the Open Quantum Materials Database, functional PBE.

CIF file:
```
data_RbScAgTe3
_chemical_formula_sum 'Rb4 Sc4 Ag4 Te12'
_cell_length_a 4.1190
_cell_length_b 16.8836
_cell_length_c 11.1223
_cell_angle_alpha 90.00
_cell_angle_beta 90.00
_cell_angle_gamma 90.00
_symmetry_space_group_name_H-M 'C m c m'
_symmetry_Int_Tables_number 63
_symmetry_space_group_name_Hall '-C 2c 2'
loop_
_atom_site_label
_atom_site_fract_x
_atom_site_fract_y
_atom_site_fract_z
Rb1 0.0000 0.2418 0.2500
Sc1 0.0000 0.0000 0.0000
Ag1 0.0000 0.4601 0.7500
Te1 0.0000 0.0724 0.7500
Te2 0.0000 0.3776 0.5361
```

Calculated values
Its total energy is -4.09 eV/atom.

# 2
A relaxed structure of RbScAgTe3. Source: the Open Quantum Materials Database, functional PBE.

CIF file:
```
data_RbScAgTe3
_chemical_formula_sum 'Rb4 Sc4 Ag4 Te12'
_cell_length_a 16.9514
_cell_length_b 4.1684
_cell_length_c 11.2351
_cell_angle_alpha 90.00
_cell_angle_beta 90.00
_cell_angle_gamma 90.00
_symmetry_space_group_name_H-M 'P n m a'
_symmetry_Int_Tables_number 62
_symmetry_space_group_name_Hall '-P 2ac 2n'
loop_
_atom_site_label
_atom_site_fract_x
_atom_site_fract_y
_atom_site_fract_z
Rb1 0.2304 0.2500 0.0464
Sc1 0.0172 0.2500 0.3408
Ag1 0.0180 0.7500 0.0918
Te1 0.0922 0.7500 0.8613
Te2 0.0933 0.2500 0.5754
Te3 0.1298 0.7500 0.2747
```

Calculated values
Its total energy is -4.10 eV/atom.

# 3
A relaxed structure of Rb3AgSe. Source: the Open Quantum Materials Database, functional PBE.

CIF file:
```
data_Rb3AgSe
_chemical_formula_sum 'Rb3 Ag1 Se1'
_cell_length_a 6.5050
_cell_length_b 6.5050
_cell_length_c 6.5050
_cell_angle_alpha 90.00
_cell_angle_beta 90.00
_cell_angle_gamma 90.00
_symmetry_space_group_name_H-M 'P m -3 m'
_symmetry_Int_Tables_number 221
_symmetry_space_group_name_Hall '-P 4 2 3'
loop_
_atom_site_label
_atom_site_fract_x
_atom_site_fract_y
_atom_site_fract_z
Rb1 0.0000 0.0000 0.5000
Ag1 0.5000 0.5000 0.5000
Se1 0.0000 0.0000 0.0000
```

Calculated values
Its total energy is -2.34 eV/atom.